Material: LiSc7Pt4
Method: DFT, PBE
State: relaxed

It has space group C2/m (No. 12), with a = 13.078 Å, b = 4.828 Å, c = 9.705 Å, α = 90.00°, β = 126.72° and γ = 90.00°. The asymmetric unit holds Li at (0.000, 0.000, 0.000), Sc at (0.000, 0.500, 0.000), Sc at (0.080, 0.000, 0.349), Sc at (0.161, 0.500, 0.613), Sc at (0.212, 0.000, 0.872), Pt at (0.065, 0.500, 0.785) and Pt at (0.205, 0.500, 0.332).

The total energy is -6.63 eV/atom.

Material: LiSc6Pt5
Method: DFT, PBE
State: relaxed

It has space group Cmmm (No. 65), with a = 4.662 Å, b = 14.027 Å, c = 6.609 Å, α = 90.00°, β = 90.00° and γ = 90.00°. The asymmetric unit holds Li at (0.000, 0.000, 0.000), Sc at (0.000, 0.168, 0.252), Sc at (0.000, 0.500, 0.255), Pt at (0.000, 0.000, 0.500), Pt at (0.000, 0.329, 0.500) and Pt at (0.000, 0.340, 0.000).

The total energy is -6.93 eV/atom.

Material: LiSc3Pt4
Method: DFT, PBE
State: relaxed

It has space group P4/mmm (No. 123), with a = 3.259 Å, b = 3.259 Å, c = 12.691 Å, α = 90.00°, β = 90.00° and γ = 90.00°. The asymmetric unit holds Li at (0.000, 0.000, 0.000), Sc at (0.000, 0.000, 0.231), Sc at (0.000, 0.000, 0.500), Pt at (0.500, 0.500, 0.112) and Pt at (0.500, 0.500, 0.368).

The total energy is -6.77 eV/atom.